A crystal of Y2TiTlI relaxed with PBEsol. Source: the Alexandria database, functional meta-GGA SCAN.

Geometry as POSCAR:
```
Y2TiTlI
1.0
-1.1549 -4.4926 2.9742
-0.3428 -2.9743 -4.6259
5.6518 -1.2135 0.3615
I Y Tl Ti
1 2 1 1
Direct
0.0000 0.0000 0.0000
0.0000 0.5000 0.0000
0.5000 0.0000 0.0000
0.0000 0.0000 0.5000
0.5000 0.5000 0.5000
```

## Properties
N(E_F) (states/eV/f.u.): 4.8
Spin magnetization (μB/f.u.): 2.92
Raw formation energy (eV/atom): 0.64
Symmetry: P4/mmm, No. 123
Electronic total energy (eV/atom): -35.523